## a
The following is a PBE calculation of crystalline PPd3W at its relaxed geometry, from Alexandria.

**DOS at the Fermi energy**: 2.96 states/eV per cell

a = 4.457 Å, b = 4.457 Å, c = 4.457 Å
α = 90.00°, β = 90.00°, γ = 90.00°
Space group Pm-3m (No. 221)
Asymmetric unit:
P1 0.000 0.000 0.000
Pd1 0.000 0.000 0.500
W1 0.500 0.500 0.500

## b
The following is a PBE calculation of crystalline PPd3W at its relaxed geometry, from Alexandria.

**DOS at the Fermi energy**: 4.83 states/eV per cell

a = 4.804 Å, b = 4.804 Å, c = 4.804 Å
α = 90.00°, β = 90.00°, γ = 90.00°
Space group Pm-3m (No. 221)
Asymmetric unit:
P1 0.000 0.000 0.000
Pd1 0.000 0.500 0.500
W1 0.500 0.500 0.500

Which of them is the least stable? Correct choice: b.

## a
The following is a PBE calculation of crystalline PPdW3 at its relaxed geometry, from Alexandria.

**DOS at the Fermi energy**: 4.19 states/eV per cell

a = 4.728 Å, b = 4.728 Å, c = 4.728 Å
α = 90.00°, β = 90.00°, γ = 90.00°
Space group Pm-3m (No. 221)
Asymmetric unit:
P1 0.000 0.000 0.000
Pd1 0.500 0.500 0.500
W1 0.000 0.500 0.500

## b
The following is a PBE calculation of crystalline PPdW3 at its relaxed geometry, from Alexandria.

**DOS at the Fermi energy**: 8.00 states/eV per cell

a = 4.432 Å, b = 4.432 Å, c = 4.432 Å
α = 90.00°, β = 90.00°, γ = 90.00°
Space group Pm-3m (No. 221)
Asymmetric unit:
P1 0.000 0.000 0.000
Pd1 0.500 0.500 0.500
W1 0.000 0.000 0.500

Which of them is the least stable? Correct choice: a.

## a
The following is a PBE calculation of crystalline P3PdW at its relaxed geometry, from Alexandria.

**DOS at the Fermi energy**: 3.35 states/eV per cell

a = 4.668 Å, b = 4.668 Å, c = 4.668 Å
α = 90.00°, β = 90.00°, γ = 90.00°
Space group Pm-3m (No. 221)
Asymmetric unit:
P1 0.000 0.000 0.500
Pd1 0.500 0.500 0.500
W1 0.000 0.000 0.000

## b
The following is a PBE calculation of crystalline P3PdW at its relaxed geometry, from Alexandria.

**DOS at the Fermi energy**: 4.88 states/eV per cell

a = 4.529 Å, b = 4.529 Å, c = 4.529 Å
α = 90.00°, β = 90.00°, γ = 90.00°
Space group Pm-3m (No. 221)
Asymmetric unit:
P1 0.000 0.000 0.500
Pd1 0.000 0.000 0.000
W1 0.500 0.500 0.500

Which of them is the least stable? Correct choice: b.

## a
The following is a PBE calculation of crystalline YP3Pd at its relaxed geometry, from Alexandria.

**DOS at the Fermi energy**: 3.27 states/eV per cell

a = 5.188 Å, b = 5.188 Å, c = 5.188 Å
α = 90.00°, β = 90.00°, γ = 90.00°
Space group Pm-3m (No. 221)
Asymmetric unit:
Y1 0.000 0.000 0.000
P1 0.000 0.000 0.500
Pd1 0.500 0.500 0.500

## b
The following is a PBE calculation of crystalline YP3Pd at its relaxed geometry, from Alexandria.

**DOS at the Fermi energy**: 4.51 states/eV per cell

a = 4.697 Å, b = 4.697 Å, c = 4.697 Å
α = 90.00°, β = 90.00°, γ = 90.00°
Space group Pm-3m (No. 221)
Asymmetric unit:
Y1 0.000 0.000 0.000
P1 0.000 0.500 0.500
Pd1 0.500 0.500 0.500

Which of them is the least stable? Correct choice: a.

## a
The following is a PBE calculation of crystalline YP2Pd at its relaxed geometry, from Alexandria.

**DOS at the Fermi energy**: 4.72 states/eV per cell

a = 4.426 Å, b = 4.426 Å, c = 16.472 Å
α = 90.00°, β = 90.00°, γ = 90.00°
Space group I-42d (No. 122)
Asymmetric unit:
Y1 0.000 0.000 0.000
P1 0.120 0.250 0.625
Pd1 0.000 0.000 0.500

## b
The following is a PBE calculation of crystalline YP2Pd at its relaxed geometry, from Alexandria.

**DOS at the Fermi energy**: 15.75 states/eV per cell

a = 6.563 Å, b = 6.563 Å, c = 6.563 Å
α = 90.00°, β = 90.00°, γ = 90.00°
Space group Fm-3m (No. 225)
Asymmetric unit:
Y1 0.000 0.000 0.000
P1 0.250 0.250 0.250
Pd1 0.000 0.000 0.500

Which of them is the least stable? Correct choice: b.

## a
The following is a PBE calculation of crystalline Y2PPd2 at its relaxed geometry, from Alexandria.

**DOS at the Fermi energy**: 5.85 states/eV per cell

a = 7.187 Å, b = 7.187 Å, c = 3.977 Å
α = 90.00°, β = 90.00°, γ = 90.00°
Space group P4/mbm (No. 127)
Asymmetric unit:
Y1 0.177 0.323 0.000
P1 0.000 0.000 0.500
Pd1 0.132 0.632 0.500

## b
The following is a PBE calculation of crystalline Y2PPd2 at its relaxed geometry, from Alexandria.

**DOS at the Fermi energy**: 10.18 states/eV per cell

a = 7.727 Å, b = 7.727 Å, c = 3.731 Å
α = 90.00°, β = 90.00°, γ = 90.00°
Space group P4/mbm (No. 127)
Asymmetric unit:
Y1 0.175 0.325 0.000
P1 0.000 0.000 0.000
Pd1 0.124 0.624 0.500

Which of them is the least stable? Correct choice: b.

## a
The following is a PBE calculation of crystalline YPPd3 at its relaxed geometry, from Alexandria.

**DOS at the Fermi energy**: 3.19 states/eV per cell

a = 4.988 Å, b = 4.988 Å, c = 4.988 Å
α = 90.00°, β = 90.00°, γ = 90.00°
Space group Pm-3m (No. 221)
Asymmetric unit:
Y1 0.000 0.000 0.000
P1 0.500 0.500 0.500
Pd1 0.000 0.000 0.500

## b
The following is a PBE calculation of crystalline YPPd3 at its relaxed geometry, from Alexandria.

**DOS at the Fermi energy**: 1.53 states/eV per cell

a = 4.575 Å, b = 4.575 Å, c = 4.575 Å
α = 90.00°, β = 90.00°, γ = 90.00°
Space group Pm-3m (No. 221)
Asymmetric unit:
Y1 0.000 0.000 0.000
P1 0.500 0.500 0.500
Pd1 0.000 0.500 0.500

Which of them is the least stable? Correct choice: a.

## a
The following is a PBE calculation of crystalline ZnPPd5 at its relaxed geometry, from Alexandria.

**DOS at the Fermi energy**: 2.04 states/eV per cell

a = 3.927 Å, b = 3.927 Å, c = 6.868 Å
α = 90.00°, β = 90.00°, γ = 90.00°
Space group P4/mmm (No. 123)
Asymmetric unit:
Zn1 0.000 0.000 0.000
P1 0.500 0.500 0.500
Pd1 0.000 0.500 0.293
Pd2 0.500 0.500 0.000

## b
The following is a PBE calculation of crystalline ZnPPd5 at its relaxed geometry, from Alexandria.

**DOS at the Fermi energy**: 8.79 states/eV per cell

a = 9.955 Å, b = 8.039 Å, c = 7.360 Å
α = 90.00°, β = 124.77°, γ = 90.00°
Space group C2/c (No. 15)
Asymmetric unit:
Zn1 0.000 0.206 0.250
P1 0.250 0.250 0.000
Pd1 0.000 0.113 0.750
Pd2 0.127 0.492 0.963
Pd3 0.227 0.211 0.670

Which of them is the least stable? Correct choice: b.